A plane-wave DFT calculation with GGA-PBE was carried out for PmPrDy2Er2 after structural relaxation.

The structure in CIF format:
```
data_PmPrDy2Er2
_chemical_formula_sum 'Pm2 Pr2 Dy4 Er4'
_symmetry_space_group_name_H-M 'P n n m'
_symmetry_Int_Tables_number 58
_cell_length_a 6.9828
_cell_length_b 16.1068
_cell_length_c 3.5498
_cell_angle_alpha 90.00
_cell_angle_beta 90.00
_cell_angle_gamma 90.00
loop_
_symmetry_equiv_pos_as_xyz
'x,y,z'
'-x,-y,-z'
'-x,-y,z'
'x,y,-z'
'x+1/2,-y+1/2,-z+1/2'
'-x+1/2,y+1/2,z+1/2'
'-x+1/2,y+1/2,-z+1/2'
'x+1/2,-y+1/2,z+1/2'
loop_
_atom_site_label
_atom_site_type_symbol
_atom_site_fract_x
_atom_site_fract_y
_atom_site_fract_z
_atom_site_occupancy
Pm1 Pm 0.0000 0.0000 0.0000 1
Pr1 Pr 0.0000 0.5000 0.5000 1
Dy1 Dy 0.2497 0.1586 0.5000 1
Er1 Er 0.2500 0.3429 0.0000 1
```

Output
VASP energy ... -53.65 eV per cell

***

A plane-wave DFT calculation with GGA-PBE was carried out for Pm2PrDy6Er3 after structural relaxation.

The structure in CIF format:
```
data_Pm2PrDy6Er3
_chemical_formula_sum 'Pm4 Pr2 Dy12 Er6'
_symmetry_space_group_name_H-M 'C 1 2/m 1'
_symmetry_Int_Tables_number 12
_cell_length_a 6.1795
_cell_length_b 10.6968
_cell_length_c 11.8056
_cell_angle_alpha 90.00
_cell_angle_beta 100.01
_cell_angle_gamma 90.00
loop_
_symmetry_equiv_pos_as_xyz
'x,y,z'
'-x,-y,-z'
'-x,y,-z'
'x,-y,z'
'x+1/2,y+1/2,z'
'-x+1/2,-y+1/2,-z'
'-x+1/2,y+1/2,-z'
'x+1/2,-y+1/2,z'
loop_
_atom_site_label
_atom_site_type_symbol
_atom_site_fract_x
_atom_site_fract_y
_atom_site_fract_z
_atom_site_occupancy
Pm1 Pm 0.0000 0.1667 0.0000 1
Pr1 Pr 0.0000 0.5000 0.0000 1
Dy1 Dy 0.2476 0.1668 0.7455 1
Dy2 Dy 0.2482 0.5000 0.7455 1
Er1 Er 0.0000 0.0000 0.5000 1
Er2 Er 0.0000 0.3332 0.5000 1
```

Output
VASP energy ... -110.70 eV per cell

***

A plane-wave DFT calculation with GGA-PBE was carried out for PmPrDy2Er5 after structural relaxation.

The structure in CIF format:
```
data_PmPrDy2Er5
_chemical_formula_sum 'Pm4 Pr4 Dy8 Er20'
_symmetry_space_group_name_H-M 'I 4/m c m'
_symmetry_Int_Tables_number 140
_symmetry_space_group_name_Hall '-I 4 2c'
_cell_length_a 8.8534
_cell_length_b 8.8534
_cell_length_c 14.8381
_cell_angle_alpha 90.00
_cell_angle_beta 90.00
_cell_angle_gamma 90.00
loop_
_atom_site_label
_atom_site_type_symbol
_atom_site_fract_x
_atom_site_fract_y
_atom_site_fract_z
_atom_site_occupancy
Pm1 Pm 0.0000 0.5000 0.2500 1
Pr1 Pr 0.0000 0.0000 0.2500 1
Dy1 Dy 0.1141 0.3859 0.0000 1
Er1 Er 0.0000 0.0000 0.0000 1
Er2 Er 0.2045 0.2955 0.3679 1
```

Output
VASP energy ... -156.23 eV per cell

***

A plane-wave DFT calculation with GGA-PBE was carried out for Pm2Pr4Dy2Er after structural relaxation.

The structure in CIF format:
```
data_Pm2Pr4Dy2Er
_chemical_formula_sum 'Pm4 Pr8 Dy4 Er2'
_symmetry_space_group_name_H-M 'C 1 2/m 1'
_symmetry_Int_Tables_number 12
_cell_length_a 15.4790
_cell_length_b 5.1602
_cell_length_c 8.1092
_cell_angle_alpha 90.00
_cell_angle_beta 108.62
_cell_angle_gamma 90.00
loop_
_symmetry_equiv_pos_as_xyz
'x,y,z'
'-x,-y,-z'
'-x,y,-z'
'x,-y,z'
'x+1/2,y+1/2,z'
'-x+1/2,-y+1/2,-z'
'-x+1/2,y+1/2,-z'
'x+1/2,-y+1/2,z'
loop_
_atom_site_label
_atom_site_type_symbol
_atom_site_fract_x
_atom_site_fract_y
_atom_site_fract_z
_atom_site_occupancy
Pm1 Pm 0.1116 0.0000 0.1706 1
Pr1 Pr 0.0544 0.5000 0.8300 1
Pr2 Pr 0.2220 0.0000 0.8300 1
Dy1 Dy 0.1667 0.5000 0.4998 1
Er1 Er 0.0000 0.0000 0.5000 1
```

Output
VASP energy ... -84.38 eV per cell